First-principles (PBE-GGA) data for a relaxed structure of As2PtRh, as listed in the Alexandria database.

The structure in POSCAR format:
```
As2PtRh
1.0
-2.925 2.925 4.974
2.925 -2.925 4.974
2.925 2.925 -4.974
As Pt Rh
4 2 2
Cartesian
4.387 1.418 -1.243
1.418 1.462 1.243
-1.462 1.507 3.730
1.507 1.462 6.217
2.925 0.000 2.487
0.000 0.000 4.974
0.000 0.000 0.000
0.000 2.925 2.487
```

Properties
Energy above the most stable polymorph in this dataset   0.091 eV/atom
D(E_F)   4.05 states/eV per cell
ΔE_f   -0.176 eV/atom